# 1
Nd8Sb5As after structural relaxation. Source: the Alexandria database, functional PBE.

a b c (Å): 9.4088 9.4088 9.5121
angles (deg): 90.00 90.00 90.00
Space group I-4 (No. 82)
Unique sites:
Nd (0.0701, 0.1777, 0.1977) [8 per cell]
Nd (0.0704, 0.3074, 0.5513) [8 per cell]
Sb (0.0000, 0.5000, 0.2500) [2 per cell]
Sb (0.1208, 0.2525, 0.8762) [8 per cell]
As (0.0000, 0.0000, 0.5000) [2 per cell]

DFT total energy (hartree per atom): -0.2065
Calculated volume (A^3/atom): 30.07
Total magnetization (μB per formula unit): 0.00

---

# 2
Nd6Sb2As3Se after structural relaxation. Source: the Alexandria database, functional PBE.

a b c (Å): 18.9929 4.3432 8.7373
angles (deg): 90.00 103.59 90.00
Space group C2/m (No. 12)
Unique sites:
Nd (0.0039, 0.0000, 0.2452) [4 per cell]
Nd (0.1628, 0.5000, 0.0921) [4 per cell]
Nd (0.1677, 0.5000, 0.5725) [4 per cell]
Sb (0.1659, 0.0000, 0.8317) [4 per cell]
As (0.0000, 0.5000, 0.0000) [2 per cell]
As (0.1666, 0.0000, 0.3344) [4 per cell]
Se (0.0000, 0.5000, 0.5000) [2 per cell]

DFT total energy (hartree per atom): -0.2205
Calculated volume (A^3/atom): 29.19
Total magnetization (μB per formula unit): 0.00

---

# 3
Nd4SbAsSe2 after structural relaxation. Source: the Alexandria database, functional PBE.

a b c (Å): 7.4537 4.3263 7.5287
angles (deg): 90.00 109.57 90.00
Space group P2/m (No. 10)
Unique sites:
Nd (0.2455, 0.0000, 0.2383) [2 per cell]
Nd (0.2536, 0.5000, 0.7623) [2 per cell]
Sb (0.0000, 0.0000, 0.5000) [1 per cell]
As (0.0000, 0.5000, 0.0000) [1 per cell]
Se (0.5000, 0.0000, 0.0000) [1 per cell]
Se (0.5000, 0.5000, 0.5000) [1 per cell]

DFT total energy (hartree per atom): -0.2192
Calculated volume (A^3/atom): 28.60
Total magnetization (μB per formula unit): 0.00

---

# 4
Nd6SbAs3Se2 after structural relaxation. Source: the Alexandria database, functional PBE.

a b c (Å): 18.8055 4.3032 8.6299
angles (deg): 90.00 103.65 90.00
Space group C2/m (No. 12)
Unique sites:
Nd (0.0012, 0.0000, 0.2392) [4 per cell]
Nd (0.1641, 0.5000, 0.0894) [4 per cell]
Nd (0.1711, 0.5000, 0.5788) [4 per cell]
Sb (0.0000, 0.5000, 0.5000) [2 per cell]
As (0.0000, 0.5000, 0.0000) [2 per cell]
As (0.1662, 0.0000, 0.3317) [4 per cell]
Se (0.1684, 0.0000, 0.8361) [4 per cell]

DFT total energy (hartree per atom): -0.2232
Calculated volume (A^3/atom): 28.28
Total magnetization (μB per formula unit): 0.00

---

# 5
Nd6Sb2AsSe3 after structural relaxation. Source: the Alexandria database, functional PBE.

a b c (Å): 18.9367 4.3443 8.6846
angles (deg): 90.00 102.98 90.00
Space group C2/m (No. 12)
Unique sites:
Nd (0.0025, 0.0000, 0.2620) [4 per cell]
Nd (0.1617, 0.5000, 0.5739) [4 per cell]
Nd (0.1627, 0.5000, 0.0898) [4 per cell]
Sb (0.1669, 0.0000, 0.8342) [4 per cell]
As (0.0000, 0.5000, 0.5000) [2 per cell]
Se (0.0000, 0.5000, 0.0000) [2 per cell]
Se (0.1684, 0.0000, 0.3350) [4 per cell]

DFT total energy (hartree per atom): -0.2173
Calculated volume (A^3/atom): 29.01
Total magnetization (μB per formula unit): 0.00

---

# 6
NdSmSbAs after structural relaxation. Source: the Alexandria database, functional PBE.

a b c (Å): 4.3732 4.3732 6.2039
angles (deg): 90.00 90.00 90.00
Space group P4/mmm (No. 123)
Unique sites:
Nd (0.0000, 0.0000, 0.0000) [1 per cell]
Sm (0.5000, 0.5000, 0.5000) [1 per cell]
Sb (0.0000, 0.0000, 0.5000) [1 per cell]
As (0.5000, 0.5000, 0.0000) [1 per cell]

DFT total energy (hartree per atom): -0.2158
Calculated volume (A^3/atom): 29.66
Total magnetization (μB per formula unit): 0.00

---

# 7
TbNdSbAs after structural relaxation. Source: the Alexandria database, functional PBE.

a b c (Å): 4.3209 4.3209 21.3734
angles (deg): 90.00 90.00 120.00
Space group R3m (No. 160, hexagonal axes)
Unique sites:
Tb (0.0000, 0.0000, 0.0000) [3 per cell]
Nd (0.0000, 0.0000, 0.5110) [3 per cell]
Sb (0.0000, 0.0000, 0.7528) [3 per cell]
As (0.0000, 0.0000, 0.2581) [3 per cell]

DFT total energy (hartree per atom): -0.2158
Calculated volume (A^3/atom): 28.80
Total magnetization (μB per formula unit): 0.00

---

# 8
Nd6Sb2TeAs3 after structural relaxation. Source: the Alexandria database, functional PBE.

a b c (Å): 19.1956 4.3760 8.8336
angles (deg): 90.00 103.86 90.00
Space group C2/m (No. 12)
Unique sites:
Nd (0.0038, 0.0000, 0.2348) [4 per cell]
Nd (0.1636, 0.5000, 0.0918) [4 per cell]
Nd (0.1720, 0.5000, 0.5750) [4 per cell]
Sb (0.1661, 0.0000, 0.8320) [4 per cell]
Te (0.0000, 0.5000, 0.5000) [2 per cell]
As (0.0000, 0.5000, 0.0000) [2 per cell]
As (0.1659, 0.0000, 0.3335) [4 per cell]

DFT total energy (hartree per atom): -0.2173
Calculated volume (A^3/atom): 30.02
Total magnetization (μB per formula unit): 0.00

---

# 9
Nd6Sb3TeAs2 after structural relaxation. Source: the Alexandria database, functional PBE.

a b c (Å): 19.3257 4.4295 8.9055
angles (deg): 90.00 103.20 90.00
Space group C2/m (No. 12)
Unique sites:
Nd (0.0063, 0.0000, 0.2589) [4 per cell]
Nd (0.1707, 0.5000, 0.0976) [4 per cell]
Nd (0.1707, 0.5000, 0.5748) [4 per cell]
Sb (0.0000, 0.5000, 0.5000) [2 per cell]
Sb (0.1632, 0.0000, 0.8327) [4 per cell]
Te (0.0000, 0.5000, 0.0000) [2 per cell]
As (0.1679, 0.0000, 0.3341) [4 per cell]

DFT total energy (hartree per atom): -0.2132
Calculated volume (A^3/atom): 30.93
Total magnetization (μB per formula unit): 0.00

---

# 10
Nd4SbTeAs2 after structural relaxation. Source: the Alexandria database, functional PBE.

a b c (Å): 7.5742 4.3734 7.6610
angles (deg): 90.00 109.16 90.00
Space group P2/m (No. 10)
Unique sites:
Nd (0.2389, 0.0000, 0.2277) [2 per cell]
Nd (0.2534, 0.5000, 0.7687) [2 per cell]
Sb (0.0000, 0.0000, 0.5000) [1 per cell]
Te (0.5000, 0.5000, 0.5000) [1 per cell]
As (0.0000, 0.5000, 0.0000) [1 per cell]
As (0.5000, 0.0000, 0.0000) [1 per cell]

DFT total energy (hartree per atom): -0.2172
Calculated volume (A^3/atom): 29.97
Total magnetization (μB per formula unit): 0.00

---

# 11
Nd4Sb2TeAs after structural relaxation. Source: the Alexandria database, functional PBE.

a b c (Å): 7.7065 4.4547 7.7378
angles (deg): 90.00 109.34 90.00
Space group P2/m (No. 10)
Unique sites:
Nd (0.2410, 0.0000, 0.2366) [2 per cell]
Nd (0.2488, 0.5000, 0.7612) [2 per cell]
Sb (0.5000, 0.0000, 0.0000) [1 per cell]
Sb (0.5000, 0.5000, 0.5000) [1 per cell]
Te (0.0000, 0.0000, 0.5000) [1 per cell]
As (0.0000, 0.5000, 0.0000) [1 per cell]

DFT total energy (hartree per atom): -0.2109
Calculated volume (A^3/atom): 31.33
Total magnetization (μB per formula unit): 0.00

---

# 12
NdThSbAs after structural relaxation. Source: the Alexandria database, functional PBE.

a b c (Å): 4.3727 4.3727 21.6485
angles (deg): 90.00 90.00 120.00
Space group R3m (No. 160, hexagonal axes)
Unique sites:
Nd (0.0000, 0.0000, 0.0000) [3 per cell]
Th (0.0000, 0.0000, 0.5125) [3 per cell]
Sb (0.0000, 0.0000, 0.7567) [3 per cell]
As (0.0000, 0.0000, 0.2551) [3 per cell]

DFT total energy (hartree per atom): -0.2387
Calculated volume (A^3/atom): 29.87
Total magnetization (μB per formula unit): 0.00